ScMo2As meta-GGA SCAN PBEsol geometry; D(E_F) = 3.6 states/eV/cell; energy relative to the elements = -0.027 eV per atom; raw total energy = -26.077 eV/atom
1.0
1.6521 -2.3895 0.0000
1.6521 2.3895 0.0000
0.0000 0.0000 8.3731
Sc Mo As
1 2 1
direct
0.0000 0.0000 0.0000
0.0000 0.0000 0.4931
0.5000 0.5000 0.7320
0.5000 0.5000 0.2540


MoAsSe2 meta-GGA SCAN PBEsol geometry; D(E_F) = 2.8 states/eV/cell; ΔE_f (raw) = 0.019 eV/atom; raw total energy = -23.789 eV/atom
1.0
1.5800 0.9122 8.4926
-1.5800 0.9122 8.4926
0.0000 -1.8244 8.4926
Mo As Se
1 1 2
direct
0.0000 0.0000 0.0000
0.5000 0.5000 0.5000
0.2641 0.2641 0.2641
0.7359 0.7359 0.7359


Mo3AsSe meta-GGA SCAN PBEsol geometry; D(E_F) = 6.4 states/eV/cell; ΔE_f (raw) = 1.326 eV/atom; raw total energy = -27.659 eV/atom
1.0
4.5717 0.0000 0.0000
0.0000 4.5717 0.0000
0.0000 0.0000 4.5717
Mo As Se
3 1 1
direct
0.0000 0.0000 0.5000
0.0000 0.5000 0.0000
0.5000 0.0000 0.0000
0.5000 0.5000 0.5000
0.0000 0.0000 0.0000


no.,total magnetization (μB per formula unit)
1,0.00
2,0.00
3,0.03